Record 1
Material: Sc3NiRu
Method: DFT, PBE
State: optimized geometry

Structure (POSCAR):
```
Sc3NiRu
1.0
4.707 0.000 0.000
0.000 4.707 0.000
0.000 0.000 4.707
Sc Ni Ru
3 1 1
direct
0.000 0.000 0.500
0.000 0.500 0.000
0.500 0.000 0.000
0.000 0.000 0.000
0.500 0.500 0.500
```

Energy above the lowest structure with this stoichiometry in meV per atom: 0
E_form in kJ/mol of formula units: 94.4

Record 2
Material: LiPr2ScSe4
Method: DFT, PBE
State: optimized geometry

Structure (POSCAR):
```
LiPr2ScSe4
1.0
7.039 0.000 0.000
0.000 4.091 0.000
-2.357 0.000 6.701
Li Pr Sc Se
1 2 1 4
direct
0.000 0.000 0.000
0.500 0.000 0.500
0.500 0.500 0.000
0.000 0.500 0.500
0.221 0.000 0.740
0.223 0.500 0.243
0.777 0.500 0.757
0.779 0.000 0.260
```

Calculated total energy in eV/atom: -5.665

Record 3
Material: Rb2InReSi
Method: DFT, PBE
State: optimized geometry

Structure (POSCAR):
```
Rb2InReSi
1.0
6.668 0.000 0.000
0.000 6.668 0.000
0.000 0.000 4.638
Rb In Re Si
2 1 1 1
direct
0.000 0.500 0.000
0.500 0.000 0.000
0.000 0.000 0.500
0.500 0.500 0.500
0.500 0.500 0.000
```

Calculated total energy in eV/atom: -3.556

Record 4
Material: La4Bi2AsP
Method: DFT, PBE
State: optimized geometry

Structure (POSCAR):
```
La4Bi2AsP
1.0
7.768 0.000 0.000
0.000 4.487 0.000
-2.587 0.000 7.455
La Bi As P
4 2 1 1
direct
0.239 0.000 0.226
0.254 0.500 0.773
0.746 0.500 0.227
0.761 0.000 0.774
0.000 0.000 0.500
0.500 0.500 0.500
0.500 0.000 0.000
0.000 0.500 0.000
```

E_form in kJ/mol of formula units: -993.1